Here is crystalline Tb2YSbO8 at its relaxed geometry from Alexandria via LeMat-Bulk. Energies are from PBE-GGA.

Crystal system = triclinic
DOS(E_F) = 0.94 states/eV/f.u.
Electronic total energy = -7.435 eV per atom
Theoretical density = 6.99 Mg/m³
E_form (uncorrected) = -29.70 eV per formula unit

CIF file:
```
data_Tb2YSbO8
_cell_length_a 3.912
_cell_length_b 5.487
_cell_length_c 7.293
_cell_angle_alpha 90.51
_cell_angle_beta 93.51
_cell_angle_gamma 93.95
_symmetry_space_group_name_H-M 'P -1'
_symmetry_Int_Tables_number 2
loop_
_symmetry_equiv_pos_as_xyz
'x,y,z'
'-x,-y,-z'
loop_
_atom_site_label
_atom_site_type_symbol
_atom_site_fract_x
_atom_site_fract_y
_atom_site_fract_z
Tb1 Tb 0.012 0.020 0.246
Y1 Y 0.500 0.500 0.000
Sb1 Sb 0.500 0.500 0.500
O1 O 0.004 0.750 0.008
O2 O 0.068 0.278 0.518
O3 O 0.457 0.730 0.718
O4 O 0.468 0.745 0.282
```

Here is crystalline SrOs4Rh at its relaxed geometry from Alexandria via LeMat-Bulk. Energies are from PBE-GGA.

Crystal system = cubic
DOS(E_F) = 8.52 states/eV/f.u.
Electronic total energy = -8.295 eV per atom
Theoretical density = 15.12 Mg/m³

CIF file:
```
data_SrOs4Rh
_cell_length_a 7.478
_cell_length_b 7.478
_cell_length_c 7.478
_cell_angle_alpha 90.00
_cell_angle_beta 90.00
_cell_angle_gamma 90.00
_symmetry_space_group_name_H-M 'F -4 3 m'
_symmetry_Int_Tables_number 216
_symmetry_space_group_name_Hall 'F -4 2 3'
loop_
_atom_site_label
_atom_site_type_symbol
_atom_site_fract_x
_atom_site_fract_y
_atom_site_fract_z
Sr1 Sr 0.000 0.000 0.000
Os1 Os 0.124 0.124 0.624
Rh1 Rh 0.250 0.250 0.250
```

Quick rundown of magnetic moment, same order as above: 2.0 0.0 μB/f.u.